Record 1
Material: YCoTc
Method: DFT, PBE-GGA
State: relaxed

Cell lengths 3.961, 3.961, 4.257 Å; angles 90.00, 90.00, 120.00 degrees
Fractional coordinates of all 3 atoms:
Y 0.000 0.000 0.000
Co 0.667 0.333 0.500
Tc 0.333 0.667 0.500

## Properties
DOS at the Fermi energy (states/eV per atom): 0.86
DFT total energy (eV/atom): -7.966
Energy above the lowest structure with this stoichiometry (meV/atom): 167

Record 2
Material: YCoTc
Method: DFT, PBE-GGA
State: relaxed

Cell lengths 4.334, 4.334, 4.334 Å; angles 60.00, 60.00, 60.00 degrees
Fractional coordinates of all 3 atoms:
Y 0.000 0.000 0.000
Co 0.750 0.750 0.750
Tc 0.500 0.500 0.500

## Properties
DOS at the Fermi energy (states/eV per atom): 1.54
DFT total energy (eV/atom): -7.541
Energy above the lowest structure with this stoichiometry (meV/atom): 593

Record 3
Material: YCo2Tc
Method: DFT, PBE-GGA
State: relaxed

Cell lengths 3.093, 4.138, 5.063 Å; angles 90.00, 102.49, 90.00 degrees
Fractional coordinates of all 4 atoms:
Y 0.000 0.000 0.000
Co 0.584 0.500 0.199
Co 0.604 0.000 0.488
Tc 0.252 0.500 0.578

## Properties
DOS at the Fermi energy (states/eV per atom): 1.12
DFT total energy (eV/atom): -7.582
Energy above the lowest structure with this stoichiometry (meV/atom): 186

Record 4
Material: Y2CoTc
Method: DFT, PBE-GGA
State: relaxed

Cell lengths 3.411, 3.433, 6.771 Å; angles 90.00, 90.00, 90.00 degrees
Fractional coordinates of all 4 atoms:
Y 0.000 0.000 0.246
Y 0.000 0.000 0.754
Co 0.500 0.500 0.000
Tc 0.500 0.500 0.500

## Properties
DOS at the Fermi energy (states/eV per atom): 1.48
DFT total energy (eV/atom): -7.533

Record 5
Material: YCoTc4
Method: DFT, PBE-GGA
State: relaxed

Cell lengths 5.227, 5.227, 5.227 Å; angles 60.00, 60.00, 60.00 degrees
Fractional coordinates of all 6 atoms:
Y 0.000 0.000 0.000
Co 0.750 0.750 0.750
Tc 0.375 0.375 0.375
Tc 0.375 0.375 0.874
Tc 0.375 0.874 0.375
Tc 0.874 0.375 0.375

## Properties
DOS at the Fermi energy (states/eV per atom): 1.30
DFT total energy (eV/atom): -8.894

Record 6
Material: Y2CoTc
Method: DFT, PBE-GGA
State: relaxed

Cell lengths 8.391, 8.391, 8.391 Å; angles 23.52, 23.52, 23.52 degrees
Fractional coordinates of all 4 atoms:
Y 0.248 0.248 0.248
Y 0.752 0.752 0.752
Co 0.500 0.500 0.500
Tc 0.000 0.000 0.000

## Properties
DOS at the Fermi energy (states/eV per atom): 0.80
DFT total energy (eV/atom): -7.248

Record 7
Material: Y2CoTc
Method: DFT, PBE-GGA
State: relaxed

Cell lengths 4.811, 4.811, 3.409 Å; angles 90.00, 90.00, 90.00 degrees
Fractional coordinates of all 4 atoms:
Y 0.000 0.500 0.000
Y 0.500 0.000 0.000
Co 0.000 0.000 0.500
Tc 0.500 0.500 0.500

## Properties
DOS at the Fermi energy (states/eV per atom): 1.57
DFT total energy (eV/atom): -7.514

Record 8
Material: YCo2Tc
Method: DFT, PBE-GGA
State: relaxed

Cell lengths 9.022, 9.022, 9.022 Å; angles 18.25, 18.25, 18.25 degrees
Fractional coordinates of all 4 atoms:
Y 0.000 0.000 0.000
Co 0.493 0.493 0.493
Co 0.758 0.758 0.758
Tc 0.233 0.233 0.233

## Properties
DOS at the Fermi energy (states/eV per atom): 1.43
DFT total energy (eV/atom): -7.171
Energy above the lowest structure with this stoichiometry (meV/atom): 598

Record 9
Material: ZnCoTc2
Method: DFT, PBE-GGA
State: relaxed

Cell lengths 4.252, 4.252, 4.252 Å; angles 60.00, 60.00, 60.00 degrees
Fractional coordinates of all 4 atoms:
Zn 0.000 0.000 0.000
Co 0.250 0.250 0.250
Tc 0.500 0.500 0.500
Tc 0.750 0.750 0.750

## Properties
DOS at the Fermi energy (states/eV per atom): 1.10
DFT total energy (eV/atom): -7.120

Record 10
Material: ZnCoTc4
Method: DFT, PBE-GGA
State: relaxed

Cell lengths 5.069, 5.069, 5.069 Å; angles 60.00, 60.00, 60.00 degrees
Fractional coordinates of all 6 atoms:
Zn 0.000 0.000 0.000
Co 0.750 0.750 0.750
Tc 0.375 0.375 0.375
Tc 0.375 0.375 0.875
Tc 0.375 0.875 0.375
Tc 0.875 0.375 0.375

## Properties
DOS at the Fermi energy (states/eV per atom): 1.01
DFT total energy (eV/atom): -7.776

Record 11
Material: ZnCoTc2
Method: DFT, PBE-GGA
State: relaxed

Cell lengths 4.631, 4.631, 4.631 Å; angles 132.19, 132.19, 69.93 degrees
Fractional coordinates of all 4 atoms:
Zn 0.000 0.000 0.000
Co 0.250 0.750 0.500
Tc 0.500 0.500 0.000
Tc 0.750 0.250 0.500

## Properties
DOS at the Fermi energy (states/eV per atom): 1.25
DFT total energy (eV/atom): -7.156

Record 12
Material: ZnCoTc2
Method: DFT, PBE-GGA
State: relaxed

Cell lengths 4.633, 4.633, 4.652 Å; angles 99.95, 99.95, 33.23 degrees
Fractional coordinates of all 4 atoms:
Zn 0.000 0.000 0.000
Co 0.251 0.251 0.801
Tc 0.525 0.525 0.513
Tc 0.761 0.761 0.292

## Properties
DOS at the Fermi energy (states/eV per atom): 1.28
DFT total energy (eV/atom): -7.146

Record 13
Material: ZnCoTc2
Method: DFT, PBE-GGA
State: relaxed

Cell lengths 8.806, 8.806, 8.806 Å; angles 17.56, 17.56, 17.56 degrees
Fractional coordinates of all 4 atoms:
Zn 0.000 0.000 0.000
Co 0.500 0.500 0.500
Tc 0.245 0.245 0.245
Tc 0.755 0.755 0.755

## Properties
DOS at the Fermi energy (states/eV per atom): 1.11
DFT total energy (eV/atom): -7.122

Record 14
Material: ZnCoTc2
Method: DFT, PBE-GGA
State: relaxed

Cell lengths 2.726, 2.726, 7.180 Å; angles 90.00, 90.00, 90.00 degrees
Fractional coordinates of all 4 atoms:
Zn 0.000 0.000 0.000
Co 0.500 0.500 0.230
Tc 0.000 0.000 0.462
Tc 0.500 0.500 0.727

## Properties
DOS at the Fermi energy (states/eV per atom): 1.11
DFT total energy (eV/atom): -7.211

Record 15
Material: ZnCoTc2
Method: DFT, PBE-GGA
State: relaxed

Cell lengths 2.671, 3.937, 5.087 Å; angles 90.00, 90.00, 90.00 degrees
Fractional coordinates of all 4 atoms:
Zn 0.000 0.000 0.000
Co 0.000 0.000 0.500
Tc 0.500 0.500 0.261
Tc 0.500 0.500 0.739

## Properties
DOS at the Fermi energy (states/eV per atom): 0.88
DFT total energy (eV/atom): -7.140